A relaxed SrLiNi2 crystal. Source: the Alexandria database, functional GGA-PBE.

Cell lengths 7.1406, 4.1170, 5.7786 Å; angles 90.00, 114.00, 90.00 degrees
Space group Cm (No. 8)
Unique sites:
Sr: 0.0000 0.0000 0.0000 [2 per cell]
Li: 0.3107 0.5000 0.4289 [2 per cell]
Ni: 0.0296 0.5000 0.5874 [2 per cell]
Ni: 0.2020 0.0000 0.6036 [2 per cell]

## Properties
Formation enthalpy at 0 K = -0.002 eV per atom